NaAl2Se | PBE | relaxed

CIF file:
```
data_NaAl2Se
_chemical_formula_sum 'Na4 Al8 Se4'
_space_group_name_H-M_alt 'I -4 2 d'
_space_group_IT_number 122
_space_group_name_Hall 'I -4 2bw'
_cell_length_a 8.0081
_cell_length_b 8.0081
_cell_length_c 5.6752
_cell_angle_alpha 90.00
_cell_angle_beta 90.00
_cell_angle_gamma 90.00
loop_
_atom_site_label
_atom_site_fract_x
_atom_site_fract_y
_atom_site_fract_z
Na1 0.0000 0.0000 0.0000
Al1 0.2096 0.2500 0.6250
Se1 0.0000 0.0000 0.5000
```

## Properties
raw formation energy: -0.1396 eV/atom